1.
# MnNiSe2

Crystalline MnNiSe2 at its relaxed geometry (PBE, the Alexandria database).

Summary:
Total moment (μB/f.u.): 3.8
E above lowest polymorph (meV/atom): 772
Uncorrected energy (eV per atom): -5.03
Formation energy from raw total energies (eV/atom): 0.445
Space-group type: F-43m

Lattice parameters (Å, degrees): 4.530 4.530 4.530 60.00 60.00 60.00
Each line ends with the local moment (μB).
Atoms (fractional coordinates):
Mn  0.500  0.500  0.500  3.76
Ni  0.750  0.750  0.750  0.10
Se  0.000  0.000  0.000  -0.05
Se  0.250  0.250  0.250  -0.16

---

2.
# MnNi2Se

Crystalline MnNi2Se at its relaxed geometry (PBE, the Alexandria database).

Summary:
Total moment (μB/f.u.): 4.9
Uncorrected energy (eV per atom): -6.02
Formation energy from raw total energies (eV/atom): 0.036
Space-group type: P4/mmm

Lattice parameters (Å, degrees): 3.793 3.793 3.638 90.00 90.00 89.98
Each line ends with the local moment (μB).
Atoms (fractional coordinates):
Mn  0.000  0.500  0.500  3.66
Ni  0.000  0.000  0.000  0.55
Ni  0.500  0.500  0.000  0.55
Se  0.500  0.000  0.500  0.05